Compound: TlSiNi2
Source: the Alexandria database
Functional: GGA-PBE
Structure: optimized geometry

Total energy in eV/atom: -4.880
M_tot in μB per cell: 0.0
Mass density in Mg/m³: 9.0
SG: Cm, No. 8

Lattice parameters (Å, degrees): 3.792 3.792 5.608 70.44 70.44 60.05
Atoms (fractional coordinates):
Tl1 0.243 0.243 0.270
Si1 0.422 0.422 0.735
Ni1 0.797 0.797 0.608
Ni2 0.038 0.038 0.888